No. 1
Below is a relaxed structure of Tb2Sc3Sn2, with properties calculated at the GGA-PBE level.

## Properties
- Total magnetic moment: 0.0 Bohr magnetons per cell
- Density of states at the Fermi level: 17.45 states/eV/cell
- E_form: -45 kJ/mol of atoms

Geometry as CIF:
```
data_Tb2Sc3Sn2
_symmetry_space_group_name_H-M 'C 1 2/m 1'
_symmetry_Int_Tables_number 12
_cell_length_a 11.5858
_cell_length_b 4.2941
_cell_length_c 8.1390
_cell_angle_alpha 90.00
_cell_angle_beta 111.75
_cell_angle_gamma 90.00
loop_
_symmetry_equiv_pos_as_xyz
'x,y,z'
'-x,-y,-z'
'-x,y,-z'
'x,-y,z'
'x+1/2,y+1/2,z'
'-x+1/2,-y+1/2,-z'
'-x+1/2,y+1/2,-z'
'x+1/2,-y+1/2,z'
loop_
_atom_site_label
_atom_site_fract_x
_atom_site_fract_y
_atom_site_fract_z
Tb1 0.1355 0.0000 0.2888
Sc1 0.0000 0.5000 0.5000
Sc2 0.1192 0.5000 0.9398
Sn1 0.1633 0.0000 0.7117
```

=====

No. 2
Below is a relaxed structure of Cs2PrIr3O12, with properties calculated at the GGA-PBE level.

## Properties
- Total magnetic moment: 13.8 Bohr magnetons per cell
- Density of states at the Fermi level: 27.62 states/eV/cell
- Energy relative to the elements, uncorrected: -1.17 eV/atom

Geometry as CIF:
```
data_Cs2PrIr3O12
_symmetry_space_group_name_H-M 'R -3 m'
_symmetry_Int_Tables_number 166
_symmetry_space_group_name_Hall '-R 3 2"'
_cell_length_a 7.3587
_cell_length_b 7.3587
_cell_length_c 19.6459
_cell_angle_alpha 90.00
_cell_angle_beta 90.00
_cell_angle_gamma 120.00
loop_
_atom_site_label
_atom_site_fract_x
_atom_site_fract_y
_atom_site_fract_z
Cs1 0.0000 0.0000 0.1107
Pr1 0.0000 0.0000 0.5000
Ir1 0.0000 0.5000 0.0000
O1 0.0346 0.5173 0.0956
O2 0.0706 0.5353 0.3424
```

=====

No. 3
Below is a relaxed structure of MgAlAg, with properties calculated at the GGA-PBE level.

## Properties
- Total magnetic moment: 0.0 Bohr magnetons per cell
- Density of states at the Fermi level: 0.87 states/eV/cell
- E_form: -5 kJ/mol of atoms

Geometry as CIF:
```
data_MgAlAg
_symmetry_space_group_name_H-M 'P 3 m 1'
_symmetry_Int_Tables_number 156
_cell_length_a 3.0702
_cell_length_b 3.0702
_cell_length_c 6.8385
_cell_angle_alpha 90.00
_cell_angle_beta 90.00
_cell_angle_gamma 120.00
loop_
_symmetry_equiv_pos_as_xyz
'x,y,z'
'-y,x-y,z'
'-x+y,-x,z'
'-y,-x,z'
'-x+y,y,z'
'x,x-y,z'
loop_
_atom_site_label
_atom_site_fract_x
_atom_site_fract_y
_atom_site_fract_z
Mg1 0.0000 0.0000 0.0000
Al1 0.3333 0.6667 0.6525
Ag1 0.6667 0.3333 0.3384
```